Rb3Y2ThS6 after structural relaxation. Source: the Alexandria database, functional PBE.

## Properties
electronic total energy	-138.93	eV for the cell shown
formation energy (no corrections)	-21.45	eV/f.u.
magnetization	0.00	μB/f.u.

Unit cell a=7.105 b=12.308 c=8.080 alpha=90.00 beta=107.05 gamma=90.00
Space group C2/m (No. 12)
Unique sites:
Rb: 0.000 0.000 0.000
Rb: 0.000 0.333 0.000
Y: 0.000 0.167 0.500
Th: 0.000 0.500 0.500
S: 0.230 0.000 0.696
S: 0.233 0.332 0.696

PtAu2Br8 after structural relaxation. Source: the Alexandria database, functional PBE.

## Properties
energy relative to the lowest polymorph listed for this composition	0.000	eV/atom
electronic total energy	-54.02	eV for the cell shown
formation energy (no corrections)	-1.03	eV/f.u.
magnetization	0.00	μB/f.u.

Unit cell a=11.002 b=8.997 c=10.180 alpha=90.00 beta=118.23 gamma=90.00
Space group C2/m (No. 12)
Unique sites:
Pt: 0.000 0.000 0.000
Au: 0.192 0.500 0.588
Br: 0.013 0.500 0.676
Br: 0.141 0.189 0.177
Br: 0.147 0.000 0.516

GaI3Cl after structural relaxation. Source: the Alexandria database, functional PBE.

## Properties
energy relative to the lowest polymorph listed for this composition	0.568	eV/atom
electronic total energy	-8.56	eV for the cell shown
formation energy (no corrections)	0.96	eV/f.u.
magnetization	0.00	μB/f.u.

Unit cell a=5.811 b=5.811 c=5.811 alpha=90.00 beta=90.00 gamma=90.00
Space group Pm-3m (No. 221)
Unique sites:
Ga: 0.000 0.000 0.000
I: 0.000 0.500 0.500
Cl: 0.500 0.500 0.500

TaTiIr2 after structural relaxation. Source: the Alexandria database, functional PBE.

## Properties
electronic total energy	-148.59	eV for the cell shown
magnetization	0.00	μB/f.u.

Unit cell a=4.133 b=4.133 c=16.783 alpha=90.00 beta=90.00 gamma=90.00
Space group I-42d (No. 122)
Unique sites:
Ta: 0.000 0.000 0.000
Ti: 0.000 0.000 0.500
Ir: 0.235 0.250 0.625

K14NaO after structural relaxation. Source: the Alexandria database, functional PBE.

## Properties
electronic total energy	-48.75	eV for the cell shown
formation energy (no corrections)	-2.73	eV/f.u.
magnetization	0.00	μB/f.u.

Unit cell a=11.825 b=12.454 c=14.343 alpha=90.00 beta=90.00 gamma=90.00
Space group Amm2 (No. 38)
Unique sites:
K: 0.000 0.000 0.000
K: 0.000 0.000 0.491
K: 0.000 0.241 0.742
K: 0.281 0.000 0.273
K: 0.284 0.217 0.986
K: 0.296 0.000 0.711
K: 0.500 0.191 0.235
Na: 0.500 0.000 0.448
O: 0.500 0.000 0.294

Er4ZnHg2 after structural relaxation. Source: the Alexandria database, functional PBE.

## Properties
electronic total energy	-66.26	eV for the cell shown
magnetization	0.00	μB/f.u.

Unit cell a=5.1002 b=5.1002 c=24.8309 alpha=90.00 beta=90.00 gamma=120.00
Space group R-3m (No. 166, hexagonal axes)
Unique sites:
Er: 0.0000 0.0000 0.1243
Er: 0.0000 0.0000 0.3751
Zn: 0.0000 0.0000 0.5000
Hg: 0.0000 0.0000 0.2507

HPb2Br after structural relaxation. Source: the Alexandria database, functional PBE.

## Properties
energy relative to the lowest polymorph listed for this composition	0.000	eV/atom
electronic total energy	-48.27	eV for the cell shown
magnetization	0.00	μB/f.u.

Unit cell a=5.963 b=5.963 c=13.415 alpha=90.00 beta=90.00 gamma=90.00
Space group I-42d (No. 122)
Unique sites:
H: 0.000 0.000 0.000
Pb: 0.118 0.250 0.125
Br: 0.000 0.000 0.500

ZnRuSe2 after structural relaxation. Source: the Alexandria database, functional PBE.

## Properties
electronic total energy	-60.87	eV for the cell shown
formation energy (no corrections)	2.30	eV/f.u.
magnetization	0.00	μB/f.u.

Unit cell a=6.480 b=6.480 c=6.480 alpha=90.00 beta=90.00 gamma=90.00
Space group F-43m (No. 216)
Unique sites:
Zn: 0.000 0.000 0.000
Ru: 0.250 0.250 0.250
Se: 0.000 0.000 0.500
Se: 0.250 0.250 0.750

LiCoAs3 after structural relaxation. Source: the Alexandria database, functional PBE.

## Properties
energy relative to the lowest polymorph listed for this composition	0.000	eV/atom
electronic total energy	-21.99	eV for the cell shown
magnetization	0.00	μB/f.u.

Unit cell a=4.642 b=4.642 c=4.642 alpha=90.00 beta=90.00 gamma=90.00
Space group Pm-3m (No. 221)
Unique sites:
Li: 0.000 0.000 0.000
Co: 0.500 0.500 0.500
As: 0.000 0.500 0.500

GaTe4Pt after structural relaxation. Source: the Alexandria database, functional PBE.

## Properties
energy relative to the lowest polymorph listed for this composition	0.219	eV/atom
electronic total energy	-87.76	eV for the cell shown
formation energy (no corrections)	-0.31	eV/f.u.
magnetization	0.00	μB/f.u.

Unit cell a=9.258 b=9.258 c=8.257 alpha=90.00 beta=90.00 gamma=90.00
Space group I4_1md (No. 109)
Unique sites:
Ga: 0.000 0.000 0.000
Te: 0.000 0.310 0.998
Te: 0.000 0.311 0.509
Pt: 0.000 0.000 0.510

Ac2InPdSe5 after structural relaxation. Source: the Alexandria database, functional PBE.

## Properties
electronic total energy	-179.36	eV for the cell shown
formation energy (no corrections)	-11.27	eV/f.u.
magnetization	0.00	μB/f.u.

Unit cell a=4.345 b=18.518 c=12.524 alpha=90.00 beta=90.00 gamma=90.00
Space group Cmc2_1 (No. 36)
Unique sites:
Ac: 0.000 0.117 0.000
Ac: 0.000 0.123 0.624
In: 0.000 0.407 0.791
Pd: 0.000 0.250 0.421
Se: 0.000 0.038 0.385
Se: 0.000 0.304 0.643
Se: 0.000 0.306 0.963
Se: 0.000 0.363 0.312
Se: 0.000 0.496 0.606

LiCa2CoI after structural relaxation. Source: the Alexandria database, functional PBE.

## Properties
electronic total energy	-14.10	eV for the cell shown
formation energy (no corrections)	0.47	eV/f.u.
magnetization	0.00	μB/f.u.

Unit cell a=5.462 b=5.462 c=4.936 alpha=90.00 beta=90.00 gamma=90.00
Space group P4/mmm (No. 123)
Unique sites:
Li: 0.000 0.000 0.000
Ca: 0.000 0.500 0.500
Co: 0.500 0.500 0.500
I: 0.500 0.500 0.000

YAgS2 after structural relaxation. Source: the Alexandria database, functional PBE.

## Properties
electronic total energy	-66.22	eV for the cell shown
formation energy (no corrections)	-4.50	eV/f.u.
magnetization	0.00	μB/f.u.

Unit cell a=4.3969 b=4.3969 c=19.0839 alpha=90.00 beta=90.00 gamma=120.00
Space group R3m (No. 160, hexagonal axes)
Unique sites:
Y: 0.0000 0.0000 0.0000
Ag: 0.0000 0.0000 0.4750
S: 0.0000 0.0000 0.1320
S: 0.0000 0.0000 0.6245

Y2ZrBr after structural relaxation. Source: the Alexandria database, functional PBE.

## Properties
energy relative to the lowest polymorph listed for this composition	0.385	eV/atom
electronic total energy	-47.01	eV for the cell shown
formation energy (no corrections)	-0.35	eV/f.u.
magnetization	0.00	μB/f.u.

Unit cell a=3.446 b=6.100 c=10.576 alpha=90.00 beta=90.00 gamma=90.00
Space group Immm (No. 71)
Unique sites:
Y: 0.000 0.000 0.233
Zr: 0.000 0.500 0.000
Br: 0.000 0.500 0.500

La4AgAu after structural relaxation. Source: the Alexandria database, functional PBE.

## Properties
energy relative to the lowest polymorph listed for this composition	0.145	eV/atom
electronic total energy	-53.91	eV for the cell shown
magnetization	0.00	μB/f.u.

Unit cell a=7.690 b=7.508 c=7.317 alpha=90.00 beta=94.41 gamma=90.00
Space group P2_1/c (No. 14)
Unique sites:
La: 0.153 0.150 0.372
La: 0.327 0.663 0.316
Ag: 0.000 0.000 0.000
Au: 0.500 0.000 0.500

LiAg2PdAu after structural relaxation. Source: the Alexandria database, functional PBE.

## Properties
electronic total energy	-66.95	eV for the cell shown
magnetization	0.00	μB/f.u.

Unit cell a=4.543 b=9.261 c=8.348 alpha=90.00 beta=90.00 gamma=90.00
Space group Cmcm (No. 63)
Unique sites:
Li: 0.000 0.000 0.000
Ag: 0.000 0.300 0.073
Pd: 0.000 0.146 0.750
Au: 0.000 0.439 0.750

RbAuSe2N after structural relaxation. Source: the Alexandria database, functional PBE.

## Properties
energy relative to the lowest polymorph listed for this composition	0.000	eV/atom
electronic total energy	-16.75	eV for the cell shown
formation energy (no corrections)	2.79	eV/f.u.
magnetization	0.23	μB/f.u.

Unit cell a=5.778 b=5.778 c=3.772 alpha=90.00 beta=90.00 gamma=90.00
Space group P4/mmm (No. 123)
Unique sites:
Rb: 0.000 0.000 0.000
Au: 0.500 0.500 0.500
Se: 0.000 0.500 0.500
N: 0.500 0.500 0.000

Tb3Ga2SiPt9 after structural relaxation. Source: the Alexandria database, functional PBE.

## Properties
electronic total energy	-89.44	eV for the cell shown
formation energy (no corrections)	-9.70	eV/f.u.
magnetization	0.00	μB/f.u.

Unit cell a=6.6196 b=6.6196 c=8.3050 alpha=90.00 beta=90.00 gamma=120.00
Space group P-3m1 (No. 164)
Unique sites:
Tb: 0.0000 0.0000 0.0000
Tb: 0.3333 0.6667 0.7237
Ga: 0.3333 0.6667 0.1989
Si: 0.0000 0.0000 0.5000
Pt: 0.0000 0.5000 0.0000
Pt: 0.1377 0.2754 0.2862

LiHfTaMn after structural relaxation. Source: the Alexandria database, functional PBE.

## Properties
electronic total energy	-130.51	eV for the cell shown
magnetization	0.00	μB/f.u.

Unit cell a=6.271 b=6.271 c=6.271 alpha=90.00 beta=90.00 gamma=90.00
Space group F-43m (No. 216)
Unique sites:
Li: 0.000 0.000 0.000
Hf: 0.250 0.250 0.750
Ta: 0.250 0.250 0.250
Mn: 0.000 0.000 0.500

Ac3SnHg2 after structural relaxation. Source: the Alexandria database, functional PBE.

## Properties
energy relative to the lowest polymorph listed for this composition	0.000	eV/atom
electronic total energy	-40.25	eV for the cell shown
magnetization	0.00	μB/f.u.

Unit cell a=5.764 b=17.395 c=4.032 alpha=90.00 beta=90.00 gamma=90.00
Space group Cmmm (No. 65)
Unique sites:
Ac: 0.000 0.000 0.000
Ac: 0.000 0.335 0.000
Sn: 0.000 0.500 0.500
Hg: 0.000 0.174 0.500

Rb2CdGa2 after structural relaxation. Source: the Alexandria database, functional PBE.

## Properties
energy relative to the lowest polymorph listed for this composition	0.000	eV/atom
electronic total energy	-35.63	eV for the cell shown
magnetization	0.00	μB/f.u.

Unit cell a=11.142 b=8.352 c=8.369 alpha=90.00 beta=90.00 gamma=90.00
Space group Cmcm (No. 63)
Unique sites:
Rb: 0.187 0.000 0.000
Cd: 0.000 0.324 0.250
Ga: 0.000 0.365 0.595

LiSb2Pb2 after structural relaxation. Source: the Alexandria database, functional PBE.

## Properties
energy relative to the lowest polymorph listed for this composition	0.253	eV/atom
electronic total energy	-33.82	eV for the cell shown
formation energy (no corrections)	0.66	eV/f.u.
magnetization	0.00	μB/f.u.

Unit cell a=4.374 b=4.374 c=16.510 alpha=90.00 beta=90.00 gamma=90.00
Space group I4/mmm (No. 139)
Unique sites:
Li: 0.000 0.000 0.000
Sb: 0.000 0.500 0.250
Pb: 0.000 0.000 0.405

HfTi2Nb after structural relaxation. Source: the Alexandria database, functional PBE.

## Properties
energy relative to the lowest polymorph listed for this composition	0.105	eV/atom
electronic total energy	-105.64	eV for the cell shown
magnetization	0.00	μB/f.u.

Unit cell a=3.0075 b=3.0075 c=29.0606 alpha=90.00 beta=90.00 gamma=120.00
Space group R-3m (No. 166, hexagonal axes)
Unique sites:
Hf: 0.0000 0.0000 0.0000
Ti: 0.0000 0.0000 0.2474
Nb: 0.0000 0.0000 0.5000

Zn2HgW after structural relaxation. Source: the Alexandria database, functional PBE.

## Properties
electronic total energy	-27.05	eV for the cell shown
magnetization	0.00	μB/f.u.

Unit cell a=3.822 b=3.822 c=9.079 alpha=90.00 beta=90.00 gamma=90.00
Space group I-4m2 (No. 119)
Unique sites:
Zn: 0.000 0.000 0.000
Zn: 0.000 0.500 0.250
Hg: 0.000 0.500 0.750
W: 0.000 0.000 0.500

PaAsH2 after structural relaxation. Source: the Alexandria database, functional PBE.

## Properties
energy relative to the lowest polymorph listed for this composition	0.000	eV/atom
electronic total energy	-69.81	eV for the cell shown
magnetization	0.00	μB/f.u.

Unit cell a=3.7551 b=3.7551 c=12.5735 alpha=90.00 beta=90.00 gamma=120.00
Space group R-3m (No. 166, hexagonal axes)
Unique sites:
Pa: 0.0000 0.0000 0.0000
As: 0.0000 0.0000 0.5000
H: 0.0000 0.0000 0.2953